Record 1
Compound: Cs2HoCrS4
Source: Alexandria
Functional: PBE
Structure: relaxed

Cell lengths 6.4167, 7.8394, 13.2318 Å; angles 84.30, 75.97, 65.84 degrees
Last column: magnetic moment on the atom in μB.
Sites, in units of the cell vectors:
Cs (0.1786, 0.0000, 0.6427)  0.00
Cs (0.8214, 0.0000, 0.3573)  0.00
Cs (0.5714, 0.5000, 0.8573)  0.00
Cs (0.9286, 0.5000, 0.1427)  0.00
Ho (0.7500, 0.5000, 0.5000)  0.18
Ho (0.0000, 0.0000, 0.0000)  0.18
Cr (0.2500, 0.5000, 0.5000)  2.60
Cr (0.5000, 0.0000, 0.0000)  2.60
S (0.3255, 0.8162, 0.0965)  -0.04
S (0.2383, 0.1838, 0.9035)  -0.04
S (0.8583, 0.8162, 0.9035)  -0.04
S (0.5779, 0.1838, 0.0965)  -0.04
S (0.4245, 0.6838, 0.4035)  -0.04
S (0.5117, 0.3162, 0.5965)  -0.04
S (0.8917, 0.6838, 0.5965)  -0.04
S (0.1721, 0.3162, 0.4035)  -0.04

Summary:
Calculated volume = 589.2 Å³/cell
Raw formation energy = -115 kJ per mole of atoms
Crystal system = orthorhombic
DOS at the Fermi energy = 0.8 states/eV/f.u.
Space group = Fddd

---

Record 2
Compound: Sr2VSn2
Source: Alexandria
Functional: PBE
Structure: relaxed

Cell lengths 4.2423, 4.2423, 10.1158 Å; angles 77.90, 77.90, 90.00 degrees
Last column: magnetic moment on the atom in μB.
Sites, in units of the cell vectors:
Sr (0.3974, 0.3974, 0.2051)  0.09
Sr (0.6026, 0.6026, 0.7949)  0.09
Sn (0.7500, 0.2500, 0.5000)  0.01
Sn (0.2500, 0.7500, 0.5000)  0.01
V (0.0000, 0.0000, 0.0000)  3.10

Summary:
Calculated volume = 173.9 Å³/cell
Crystal system = tetragonal
ΔE_f = 6.79 kcal/mol of atoms
DOS at the Fermi energy = 3.0 states/eV/f.u.
Space group = I4/mmm

---

Record 3
Compound: Pm2SmI
Source: Alexandria
Functional: PBE
Structure: relaxed

Cell lengths 3.7067, 3.7067, 9.7543 Å; angles 90.00, 90.00, 90.00 degrees
Sites, in units of the cell vectors:
I (0.5000, 0.5000, 0.0000)
Sm (0.5000, 0.5000, 0.5000)
Pm (0.0000, 0.0000, 0.7589)
Pm (0.0000, 0.0000, 0.2411)

Summary:
Calculated volume = 134.0 Å³/cell
Raw formation energy = -32 kJ per mole of atoms
Crystal system = tetragonal
DOS at the Fermi energy = 4.1 states/eV/f.u.
Space group = P4/mmm

---

Record 4
Compound: Ho4PuAs5
Source: Alexandria
Functional: PBE
Structure: relaxed

Cell lengths 5.8046, 7.1129, 7.1129 Å; angles 80.42, 65.92, 65.92 degrees
Last column: magnetic moment on the atom in μB.
Sites, in units of the cell vectors:
Ho (0.4007, 0.4013, 0.7992)  0.01
Ho (0.8020, 0.7992, 0.5987)  0.01
Ho (0.1999, 0.2008, 0.4013)  0.01
Ho (0.6013, 0.5987, 0.2008)  0.01
Pu (0.0012, 0.0000, 0.0000)  5.00
As (0.9017, 0.3989, 0.7997)  -0.04
As (0.3006, 0.7997, 0.6011)  -0.04
As (0.7014, 0.2003, 0.3989)  -0.04
As (0.1003, 0.6011, 0.2003)  -0.04
As (0.5012, 0.0000, 0.0000)  -0.07

Summary:
Calculated volume = 244.8 Å³/cell
Crystal system = tetragonal
ΔE_f = -32.66 kcal/mol of atoms
DOS at the Fermi energy = 13.9 states/eV/f.u.
Space group = I4/m

---

Record 5
Compound: TbPuMg
Source: Alexandria
Functional: PBE
Structure: relaxed

Cell lengths 5.5985, 6.5913, 10.5377 Å; angles 103.96, 82.73, 31.86 degrees
Last column: magnetic moment on the atom in μB.
Sites, in units of the cell vectors:
Mg (0.0999, 0.4313, 0.8408)  0.00
Mg (0.9001, 0.5687, 0.1592)  0.00
Tb (0.4810, 0.7635, 0.5066)  0.03
Tb (0.5190, 0.2365, 0.4934)  0.03
Pu (0.0468, 0.9424, 0.0962)  0.27
Pu (0.9532, 0.0576, 0.9038)  0.27

Summary:
Calculated volume = 151.9 Å³/cell
Crystal system = monoclinic
ΔE_f = 5.35 kcal/mol of atoms
DOS at the Fermi energy = 5.9 states/eV/f.u.
Space group = P2_1/m

---

Record 6
Compound: Nb2HRuRh
Source: Alexandria
Functional: PBE
Structure: relaxed

Cell lengths 4.1577, 4.1577, 3.8338 Å; angles 90.00, 90.00, 90.00 degrees
Sites, in units of the cell vectors:
Ru (0.0000, 0.0000, 0.5000)
Nb (0.0000, 0.5000, 0.0000)
Nb (0.5000, 0.0000, 0.0000)
Rh (0.5000, 0.5000, 0.5000)
H (0.0000, 0.0000, 0.0000)

Summary:
Calculated volume = 66.3 Å³/cell
Crystal system = tetragonal
DOS at the Fermi energy = 3.5 states/eV/f.u.
Space group = P4/mmm
Total energy = -0.3046 Ha/atom

---

Record 7
Compound: Na2ZnSiAs
Source: Alexandria
Functional: PBE
Structure: relaxed

Cell lengths 5.5264, 4.4536, 5.5264 Å; angles 90.00, 90.00, 90.00 degrees
Last column: magnetic moment on the atom in μB.
Sites, in units of the cell vectors:
Na (0.0000, 0.0000, 0.5000)  0.01
Na (0.5000, 0.0000, 0.0000)  0.00
As (0.5000, 0.5000, 0.5000)  0.12
Si (0.0000, 0.0000, 0.0000)  0.11
Zn (0.0000, 0.5000, 0.0000)  0.01

Summary:
Calculated volume = 136.0 Å³/cell
Raw formation energy = 45 kJ per mole of atoms
Crystal system = tetragonal
DOS at the Fermi energy = 5.0 states/eV/f.u.
Space group = P4/mmm

---

Record 8
Compound: RbSrMo2
Source: Alexandria
Functional: PBE
Structure: relaxed

Cell lengths 5.6086, 5.6086, 5.6086 Å; angles 60.00, 60.00, 60.00 degrees
Last column: magnetic moment on the atom in μB.
Sites, in units of the cell vectors:
Sr (0.5000, 0.5000, 0.5000)  0.07
Mo (0.2500, 0.2500, 0.2500)  2.94
Mo (0.7500, 0.7500, 0.7500)  2.94
Rb (0.0000, 0.0000, 0.0000)  0.06

Summary:
Calculated volume = 124.8 Å³/cell
Crystal system = cubic
ΔE_f = 48.28 kcal/mol of atoms
DOS at the Fermi energy = 5.3 states/eV/f.u.
Space group = Fm-3m

---

Record 9
Compound: TlFe2As
Source: Alexandria
Functional: PBE
Structure: relaxed

Cell lengths 4.3592, 4.3592, 4.3592 Å; angles 60.00, 60.00, 60.00 degrees
Sites, in units of the cell vectors:
Tl (0.5000, 0.5000, 0.5000)
As (0.0000, 0.0000, 0.0000)
Fe (0.2500, 0.2500, 0.2500)
Fe (0.7500, 0.7500, 0.7500)

Summary:
Calculated volume = 58.6 Å³/cell
Crystal system = cubic
ΔE_f = 15.15 kcal/mol of atoms
DOS at the Fermi energy = 2.0 states/eV/f.u.
Space group = Fm-3m

---

Record 10
Compound: Ca3CeZn8
Source: Alexandria
Functional: PBE
Structure: relaxed

Cell lengths 5.6148, 5.6148, 8.8107 Å; angles 90.00, 90.00, 120.00 degrees
Last column: magnetic moment on the atom in μB.
Sites, in units of the cell vectors:
Ca (0.6667, 0.3333, 0.4402)  0.00
Ca (0.6667, 0.3333, 0.0565)  0.00
Ca (0.0000, 0.0000, 0.9426)  0.00
Ce (0.0000, 0.0000, 0.5573)  0.57
Zn (0.3333, 0.6667, 0.5010)  -0.01
Zn (0.3333, 0.6667, 0.0009)  0.00
Zn (0.4995, 0.9990, 0.7492)  0.00
Zn (0.4995, 0.5005, 0.7492)  0.00
Zn (0.0010, 0.5005, 0.7492)  0.00
Zn (0.1672, 0.3345, 0.2513)  0.00
Zn (0.1672, 0.8328, 0.2513)  0.00
Zn (0.6655, 0.8328, 0.2513)  0.00

Summary:
Calculated volume = 240.6 Å³/cell
Crystal system = trigonal
ΔE_f = -5.85 kcal/mol of atoms
DOS at the Fermi energy = 9.7 states/eV/f.u.
Space group = P3m1

---

Record 11
Compound: Ba2SrAu3
Source: Alexandria
Functional: PBE
Structure: relaxed

Cell lengths 5.6382, 5.6382, 13.7304 Å; angles 90.00, 90.00, 120.00 degrees
Sites, in units of the cell vectors:
Ba (0.0000, 0.0000, 0.5000)
Ba (0.3333, 0.6667, 0.1704)
Ba (0.6667, 0.3333, 0.8296)
Ba (0.0000, 0.0000, 0.0000)
Sr (0.3333, 0.6667, 0.6641)
Sr (0.6667, 0.3333, 0.3359)
Au (0.3333, 0.6667, 0.4179)
Au (0.6667, 0.3333, 0.0895)
Au (0.0000, 0.0000, 0.7456)
Au (0.0000, 0.0000, 0.2544)
Au (0.3333, 0.6667, 0.9105)
Au (0.6667, 0.3333, 0.5821)

Summary:
Calculated volume = 378.0 Å³/cell
Crystal system = trigonal
ΔE_f = -16.01 kcal/mol of atoms
DOS at the Fermi energy = 4.6 states/eV/f.u.
Space group = P-3m1

---

Record 12
Compound: Cs2Rb2Na
Source: Alexandria
Functional: PBE
Structure: relaxed

Cell lengths 12.8888, 12.8888, 12.8888 Å; angles 150.96, 150.96, 41.53 degrees
Sites, in units of the cell vectors:
Cs (0.7500, 0.2500, 0.5000)
Cs (0.2500, 0.7500, 0.5000)
Rb (0.5868, 0.5868, 0.0000)
Rb (0.4132, 0.4132, 0.0000)
Na (0.0000, 0.0000, 0.0000)

Summary:
Calculated volume = 503.4 Å³/cell
Crystal system = tetragonal
ΔE_f = 3.74 kcal/mol of atoms
DOS at the Fermi energy = 4.4 states/eV/f.u.
Space group = I4/mmm